1.
The following is a PBE calculation of crystalline BeWBr at its relaxed geometry, from Alexandria.

The volume is 17.8 Å³ per atom. The value obtained for the energy above the most stable polymorph in this dataset is 875.0 meV/atom. The density of states at the Fermi level is 1.15 states/eV/atom. The mass density comes out at 8.46 g/cm3. The calculation puts the electronic total energy at -13.59 eV/f.u.

CIF file:
```
data_BeWBr
_chemical_formula_sum 'Be4 W4 Br4'
_cell_length_a 5.9824
_cell_length_b 5.9824
_cell_length_c 5.9824
_cell_angle_alpha 90.00
_cell_angle_beta 90.00
_cell_angle_gamma 90.00
_space_group_name_H-M_alt 'F -4 3 m'
_space_group_IT_number 216
_space_group_name_Hall 'F -4 2 3'
loop_
_atom_site_label
_atom_site_fract_x
_atom_site_fract_y
_atom_site_fract_z
Be1 0.0000 0.0000 0.0000
W1 0.2500 0.2500 0.2500
Br1 0.0000 0.0000 0.5000
```

=====

2.
The following is a PBE calculation of crystalline Zn2RuBr at its relaxed geometry, from Alexandria.

The volume is 18.2 Å³ per atom. The value obtained for the energy above the most stable polymorph in this dataset is 0.0 meV/atom. The density of states at the Fermi level is 1.01 states/eV/atom. The mass density comes out at 7.11 g/cm3. The calculation puts the electronic total energy at -13.02 eV/f.u.

CIF file:
```
data_Zn2RuBr
_chemical_formula_sum 'Zn2 Ru1 Br1'
_cell_length_a 2.9801
_cell_length_b 3.2082
_cell_length_c 7.6170
_cell_angle_alpha 90.00
_cell_angle_beta 90.10
_cell_angle_gamma 90.00
_space_group_name_H-M_alt 'P 1 2/m 1'
_space_group_IT_number 10
_space_group_name_Hall '-P 2y'
loop_
_atom_site_label
_atom_site_fract_x
_atom_site_fract_y
_atom_site_fract_z
Zn1 0.0010 0.0000 0.1941
Ru1 0.5000 0.5000 0.0000
Br1 0.0000 0.5000 0.5000
```

=====

3.
The following is a PBE calculation of crystalline As2RuBr at its relaxed geometry, from Alexandria.

The volume is 18.0 Å³ per atom. The value obtained for the energy above the most stable polymorph in this dataset is 852.0 meV/atom. The density of states at the Fermi level is 0.95 states/eV/atom. The mass density comes out at 7.62 g/cm3. The calculation puts the electronic total energy at -17.14 eV/f.u.

CIF file:
```
data_As2RuBr
_chemical_formula_sum 'As8 Ru4 Br4'
_cell_length_a 6.6052
_cell_length_b 6.6052
_cell_length_c 6.6052
_cell_angle_alpha 90.00
_cell_angle_beta 90.00
_cell_angle_gamma 90.00
_space_group_name_H-M_alt 'F m -3 m'
_space_group_IT_number 225
_space_group_name_Hall '-F 4 2 3'
loop_
_atom_site_label
_atom_site_fract_x
_atom_site_fract_y
_atom_site_fract_z
As1 0.2500 0.2500 0.2500
Ru1 0.0000 0.0000 0.0000
Br1 0.0000 0.0000 0.5000
```

=====

4.
The following is a PBE calculation of crystalline Ru2WSe at its relaxed geometry, from Alexandria.

The volume is 15.0 Å³ per atom. The density of states at the Fermi level is 0.82 states/eV/atom. The mass density comes out at 12.86 g/cm3. The calculation puts the electronic total energy at -33.48 eV/f.u.

CIF file:
```
data_Ru2WSe
_chemical_formula_sum 'Ru2 W1 Se1'
_cell_length_a 2.9279
_cell_length_b 4.4676
_cell_length_c 4.5880
_cell_angle_alpha 90.00
_cell_angle_beta 90.00
_cell_angle_gamma 90.00
_space_group_name_H-M_alt 'P m m m'
_space_group_IT_number 47
_space_group_name_Hall '-P 2 2'
loop_
_atom_site_label
_atom_site_fract_x
_atom_site_fract_y
_atom_site_fract_z
Ru1 0.0000 0.0000 0.0000
Ru2 0.5000 0.0000 0.5000
W1 0.0000 0.5000 0.5000
Se1 0.5000 0.5000 0.0000
```

=====

5.
The following is a PBE calculation of crystalline AlP2Se at its relaxed geometry, from Alexandria.

The volume is 16.5 Å³ per atom. The value obtained for the energy above the most stable polymorph in this dataset is 614.4 meV/atom. The density of states at the Fermi level is 0.50 states/eV/atom. The mass density comes out at 4.22 g/cm3. The calculation puts the electronic total energy at -16.24 eV/f.u.

CIF file:
```
data_AlP2Se
_chemical_formula_sum 'Al2 P4 Se2'
_cell_length_a 6.4965
_cell_length_b 6.5162
_cell_length_c 3.1241
_cell_angle_alpha 90.00
_cell_angle_beta 90.00
_cell_angle_gamma 90.00
_space_group_name_H-M_alt 'C m m m'
_space_group_IT_number 65
_space_group_name_Hall '-C 2 2'
loop_
_atom_site_label
_atom_site_fract_x
_atom_site_fract_y
_atom_site_fract_z
Al1 0.0000 0.0000 0.0000
P1 0.2500 0.2500 0.5000
Se1 0.0000 0.5000 0.0000
```

=====

6.
The following is a PBE calculation of crystalline BiAsIO2 at its relaxed geometry, from Alexandria.

The volume is 25.9 Å³ per atom. The value obtained for the energy above the most stable polymorph in this dataset is 0.0 meV/atom. The density of states at the Fermi level is 0.32 states/eV/atom. The mass density comes out at 5.68 g/cm3. The calculation puts the electronic total energy at -19.83 eV/f.u.

CIF file:
```
data_BiAsIO2
_chemical_formula_sum 'Bi1 As1 I1 O2'
_cell_length_a 4.2686
_cell_length_b 4.2686
_cell_length_c 7.1070
_cell_angle_alpha 90.00
_cell_angle_beta 90.00
_cell_angle_gamma 90.00
_space_group_name_H-M_alt 'P 4/m m m'
_space_group_IT_number 123
_space_group_name_Hall '-P 4 2'
loop_
_atom_site_label
_atom_site_fract_x
_atom_site_fract_y
_atom_site_fract_z
Bi1 0.0000 0.0000 0.0000
As1 0.5000 0.5000 0.5000
I1 0.0000 0.0000 0.5000
O1 0.0000 0.5000 0.0000
```